The following is a PBE-GGA calculation of a geometry-optimized NdSmHo5Tm2 structure, from Alexandria via LeMat-Bulk. Values from VASP.

M_tot = 0.00 μB per atom
Energy of formation = 1.47 eV per formula unit
Density of states at the Fermi level = 14.13 states/eV/f.u.
Raw total energy = -79.7 eV for the cell shown

```
&SYSTEM
  ibrav = 0, nat = 18, ntyp = 4
/
ATOMIC_SPECIES
Nd 144.24 Nd.upf
Sm 150.36 Sm.upf
Ho 164.93 Ho.upf
Tm 168.93 Tm.upf
CELL_PARAMETERS angstrom
5.587 0.000 0.000
-2.794 9.893 0.000
0.000 0.000 10.534
ATOMIC_POSITIONS angstrom
Nd 2.794 1.649 9.999
Nd 0.000 8.244 4.732
Sm 2.794 5.929 5.401
Sm 0.000 3.964 0.133
Ho 0.000 7.726 0.253
Ho 2.794 4.332 8.543
Ho 0.000 9.448 7.753
Ho 0.000 5.914 7.471
Ho 2.794 9.554 5.543
Ho 2.794 2.166 5.520
Ho 0.000 5.561 3.276
Ho 2.794 0.445 2.486
Ho 2.794 3.979 2.204
Ho 0.000 0.339 0.276
Tm 2.794 7.649 8.639
Tm 0.000 2.183 7.750
Tm 0.000 2.244 3.372
Tm 2.794 7.710 2.482
```